# PBE SiSb2S, optimized geometry
data_SiSb2S
_cell_length_a 7.013
_cell_length_b 7.013
_cell_length_c 8.907
_cell_angle_alpha 90.00
_cell_angle_beta 90.00
_cell_angle_gamma 90.00
_space_group_name_H-M_alt 'I -4 2 d'
_space_group_IT_number 122
_space_group_name_Hall 'I -4 2bw'
loop_
_atom_site_label
_atom_site_type_symbol
_atom_site_fract_x
_atom_site_fract_y
_atom_site_fract_z
Si1 Si 0.000 0.000 0.000
Sb1 Sb 0.237 0.250 0.125
S1 S 0.000 0.000 0.500
# * theoretical density: 4.6 g/cm³
# * calculated volume: 27.38 Å³ per atom
# * DOS(E_F): 0.289 states/eV/atom
# * ΔE_f (raw): 0.351 eV/atom
# * total moment: 0.00 μB per cell

# PBE Ce2SbC2, optimized geometry
data_Ce2SbC2
_cell_length_a 14.384
_cell_length_b 4.427
_cell_length_c 6.706
_cell_angle_alpha 90.00
_cell_angle_beta 98.39
_cell_angle_gamma 90.00
_space_group_name_H-M_alt 'C 1 2/c 1'
_space_group_IT_number 15
_space_group_name_Hall '-C 2yc'
loop_
_atom_site_label
_atom_site_type_symbol
_atom_site_fract_x
_atom_site_fract_y
_atom_site_fract_z
Ce1 Ce 0.148 0.219 0.157
Sb1 Sb 0.000 0.281 0.750
C1 C 0.229 0.377 0.526
# * theoretical density: 6.7 g/cm³
# * calculated volume: 21.12 Å³ per atom
# * DOS(E_F): 0.672 states/eV/atom
# * ΔE_f (raw): -0.521 eV/atom
# * total moment: 0.00 μB per cell

# PBE Ac2ThNiSe5, optimized geometry
data_Ac2ThNiSe5
_cell_length_a 4.181
_cell_length_b 17.893
_cell_length_c 12.959
_cell_angle_alpha 90.00
_cell_angle_beta 90.00
_cell_angle_gamma 90.00
_space_group_name_H-M_alt 'C m c 21'
_space_group_IT_number 36
_space_group_name_Hall 'C 2c -2'
loop_
_atom_site_label
_atom_site_type_symbol
_atom_site_fract_x
_atom_site_fract_y
_atom_site_fract_z
Ac1 Ac 0.000 0.114 0.000
Ac2 Ac 0.000 0.118 0.350
Th1 Th 0.000 0.173 0.673
Ni1 Ni 0.000 0.434 0.078
Se1 Se 0.000 0.017 0.664
Se2 Se 0.000 0.305 0.337
Se3 Se 0.000 0.309 0.012
Se4 Se 0.000 0.341 0.673
Se5 Se 0.000 0.499 0.414
# * theoretical density: 7.8 g/cm³
# * calculated volume: 26.93 Å³ per atom
# * DOS(E_F): 0.176 states/eV/atom
# * ΔE_f (raw): -1.654 eV/atom
# * total moment: 0.00 μB per cell

# PBE TaIr2Ru4, optimized geometry
data_TaIr2Ru4
_cell_length_a 4.688
_cell_length_b 4.688
_cell_length_c 12.353
_cell_angle_alpha 90.00
_cell_angle_beta 90.00
_cell_angle_gamma 90.00
_space_group_name_H-M_alt 'I 4/m m m'
_space_group_IT_number 139
_space_group_name_Hall '-I 4 2'
loop_
_atom_site_label
_atom_site_type_symbol
_atom_site_fract_x
_atom_site_fract_y
_atom_site_fract_z
Ta1 Ta 0.000 0.000 0.000
Ir1 Ir 0.000 0.000 0.395
Ru1 Ru 0.000 0.000 0.202
Ru2 Ru 0.000 0.500 0.000
# * theoretical density: 11.9 g/cm³
# * formation energy: 1.44 eV per atom
# * calculated volume: 19.40 Å³ per atom
# * DOS(E_F): 1.472 states/eV/atom
# * total moment: 5.81 μB per cell

# PBE Zn2InAgTe4, optimized geometry
data_Zn2InAgTe4
_cell_length_a 6.353
_cell_length_b 6.353
_cell_length_c 12.735
_cell_angle_alpha 90.00
_cell_angle_beta 90.00
_cell_angle_gamma 90.00
_space_group_name_H-M_alt 'I -4 2 m'
_space_group_IT_number 121
_space_group_name_Hall 'I -4 2'
loop_
_atom_site_label
_atom_site_type_symbol
_atom_site_fract_x
_atom_site_fract_y
_atom_site_fract_z
Zn1 Zn 0.000 0.500 0.250
In1 In 0.000 0.000 0.000
Ag1 Ag 0.000 0.000 0.500
Te1 Te 0.247 0.247 0.367
# * theoretical density: 5.6 g/cm³
# * calculated volume: 32.12 Å³ per atom
# * ΔE_f (raw): -0.367 eV/atom
# * total moment: 0.00 μB per cell

# PBE SrTa2RuC, optimized geometry
data_SrTa2RuC
_cell_length_a 4.979
_cell_length_b 4.979
_cell_length_c 4.099
_cell_angle_alpha 90.00
_cell_angle_beta 90.00
_cell_angle_gamma 90.00
_space_group_name_H-M_alt 'P 4/m m m'
_space_group_IT_number 123
_space_group_name_Hall '-P 4 2'
loop_
_atom_site_label
_atom_site_type_symbol
_atom_site_fract_x
_atom_site_fract_y
_atom_site_fract_z
Sr1 Sr 0.000 0.000 0.000
Ta1 Ta 0.000 0.500 0.000
Ru1 Ru 0.500 0.500 0.500
C1 C 0.000 0.000 0.500
# * theoretical density: 9.2 g/cm³
# * formation energy: 3.46 eV per atom
# * calculated volume: 20.33 Å³ per atom
# * DOS(E_F): 1.463 states/eV/atom
# * total moment: 0.00 μB per cell

# PBE La6HoTm, optimized geometry
data_La6HoTm
_cell_length_a 5.192
_cell_length_b 5.192
_cell_length_c 10.383
_cell_angle_alpha 90.00
_cell_angle_beta 90.00
_cell_angle_gamma 90.00
_space_group_name_H-M_alt 'P 4/m m m'
_space_group_IT_number 123
_space_group_name_Hall '-P 4 2'
loop_
_atom_site_label
_atom_site_type_symbol
_atom_site_fract_x
_atom_site_fract_y
_atom_site_fract_z
La1 La 0.000 0.000 0.000
La2 La 0.000 0.000 0.500
La3 La 0.000 0.500 0.250
Ho1 Ho 0.500 0.500 0.000
Tm1 Tm 0.500 0.500 0.500
# * theoretical density: 6.9 g/cm³
# * formation energy: 0.01 eV per atom
# * calculated volume: 34.99 Å³ per atom
# * DOS(E_F): 1.203 states/eV/atom
# * total moment: 0.00 μB per cell

# PBE AcHIF, optimized geometry
data_AcHIF
_cell_length_a 12.250
_cell_length_b 4.238
_cell_length_c 4.373
_cell_angle_alpha 90.00
_cell_angle_beta 109.61
_cell_angle_gamma 90.00
_space_group_name_H-M_alt 'C 1 m 1'
_space_group_IT_number 8
_space_group_name_Hall 'C -2y'
loop_
_atom_site_label
_atom_site_type_symbol
_atom_site_fract_x
_atom_site_fract_y
_atom_site_fract_z
Ac1 Ac 0.000 0.000 0.000
H1 H 0.080 0.500 0.075
I1 I 0.330 0.000 0.335
F1 F 0.080 0.000 0.575
# * theoretical density: 5.8 g/cm³
# * electronic total energy: -4.7195 eV/atom
# * calculated volume: 26.73 Å³ per atom
# * DOS(E_F): 0.000 states/eV/atom
# * total moment: 0.00 μB per cell

# PBE ZrZnNi2P, optimized geometry
data_ZrZnNi2P
_cell_length_a 4.285
_cell_length_b 4.285
_cell_length_c 4.495
_cell_angle_alpha 90.00
_cell_angle_beta 90.00
_cell_angle_gamma 90.00
_space_group_name_H-M_alt 'P 4/m m m'
_space_group_IT_number 123
_space_group_name_Hall '-P 4 2'
loop_
_atom_site_label
_atom_site_type_symbol
_atom_site_fract_x
_atom_site_fract_y
_atom_site_fract_z
Zr1 Zr 0.000 0.000 0.000
Zn1 Zn 0.500 0.500 0.500
Ni1 Ni 0.000 0.500 0.500
P1 P 0.500 0.500 0.000
# * theoretical density: 6.1 g/cm³
# * formation energy: 0.41 eV per atom
# * calculated volume: 16.51 Å³ per atom
# * DOS(E_F): 0.747 states/eV/atom
# * total moment: 0.00 μB per cell

# PBE MnV4C, optimized geometry
data_MnV4C
_cell_length_a 5.290
_cell_length_b 4.831
_cell_length_c 5.902
_cell_angle_alpha 90.00
_cell_angle_beta 103.48
_cell_angle_gamma 90.00
_space_group_name_H-M_alt 'P 1 21/c 1'
_space_group_IT_number 14
_space_group_name_Hall '-P 2ybc'
loop_
_atom_site_label
_atom_site_type_symbol
_atom_site_fract_x
_atom_site_fract_y
_atom_site_fract_z
Mn1 Mn 0.000 0.000 0.000
V1 V 0.140 0.104 0.371
V2 V 0.397 0.651 0.302
C1 C 0.500 0.000 0.500
# * theoretical density: 6.1 g/cm³
# * formation energy: -0.05 eV per atom
# * calculated volume: 12.22 Å³ per atom
# * DOS(E_F): 0.795 states/eV/atom
# * total moment: 0.00 μB per cell

# PBE Rb4AcNb3O12, optimized geometry
data_Rb4AcNb3O12
_cell_length_a 8.601
_cell_length_b 8.601
_cell_length_c 8.601
_cell_angle_alpha 90.00
_cell_angle_beta 90.00
_cell_angle_gamma 90.00
_space_group_name_H-M_alt 'I m -3 m'
_space_group_IT_number 229
_space_group_name_Hall '-I 4 2 3'
loop_
_atom_site_label
_atom_site_type_symbol
_atom_site_fract_x
_atom_site_fract_y
_atom_site_fract_z
Rb1 Rb 0.250 0.250 0.250
Ac1 Ac 0.000 0.000 0.000
Nb1 Nb 0.000 0.000 0.500
O1 O 0.000 0.000 0.278
O2 O 0.000 0.250 0.500
# * theoretical density: 5.4 g/cm³
# * calculated volume: 15.91 Å³ per atom
# * DOS(E_F): 0.553 states/eV/atom
# * ΔE_f (raw): -2.195 eV/atom
# * total moment: 3.87 μB per cell

# PBE PmLuZn, optimized geometry
data_PmLuZn
_cell_length_a 4.9592
_cell_length_b 4.9592
_cell_length_c 3.7623
_cell_angle_alpha 90.00
_cell_angle_beta 90.00
_cell_angle_gamma 120.00
_space_group_name_H-M_alt 'P 3 m 1'
_space_group_IT_number 156
_space_group_name_Hall 'P 3 -2"'
loop_
_atom_site_label
_atom_site_type_symbol
_atom_site_fract_x
_atom_site_fract_y
_atom_site_fract_z
Pm1 Pm 0.0000 0.0000 0.0000
Lu1 Lu 0.6667 0.3333 0.5116
Zn1 Zn 0.3333 0.6667 0.4437
# * theoretical density: 8.0 g/cm³
# * formation energy: -0.05 eV per atom
# * calculated volume: 26.71 Å³ per atom
# * DOS(E_F): 1.353 states/eV/atom
# * total moment: 0.00 μB per cell

# PBE Y2VCd, optimized geometry
data_Y2VCd
_cell_length_a 7.351
_cell_length_b 7.351
_cell_length_c 7.351
_cell_angle_alpha 90.00
_cell_angle_beta 90.00
_cell_angle_gamma 90.00
_space_group_name_H-M_alt 'F m -3 m'
_space_group_IT_number 225
_space_group_name_Hall '-F 4 2 3'
loop_
_atom_site_label
_atom_site_type_symbol
_atom_site_fract_x
_atom_site_fract_y
_atom_site_fract_z
Y1 Y 0.250 0.250 0.250
V1 V 0.000 0.000 0.000
Cd1 Cd 0.000 0.000 0.500
# * theoretical density: 5.7 g/cm³
# * formation energy: 0.04 eV per atom
# * calculated volume: 24.82 Å³ per atom
# * DOS(E_F): 1.016 states/eV/atom
# * total moment: 13.62 μB per cell

# PBE ZrBP2Pd, optimized geometry
data_ZrBP2Pd
_cell_length_a 4.962
_cell_length_b 4.962
_cell_length_c 5.132
_cell_angle_alpha 90.00
_cell_angle_beta 90.00
_cell_angle_gamma 90.00
_space_group_name_H-M_alt 'P 4/m m m'
_space_group_IT_number 123
_space_group_name_Hall '-P 4 2'
loop_
_atom_site_label
_atom_site_type_symbol
_atom_site_fract_x
_atom_site_fract_y
_atom_site_fract_z
Zr1 Zr 0.000 0.000 0.000
B1 B 0.500 0.500 0.500
P1 P 0.000 0.500 0.000
Pd1 Pd 0.000 0.000 0.500
# * theoretical density: 3.6 g/cm³
# * formation energy: 1.45 eV per atom
# * calculated volume: 25.27 Å³ per atom
# * DOS(E_F): 1.410 states/eV/atom
# * total moment: 0.00 μB per cell

# PBE LiLa2YTc, optimized geometry
data_LiLa2YTc
_cell_length_a 5.454
_cell_length_b 5.454
_cell_length_c 5.598
_cell_angle_alpha 90.00
_cell_angle_beta 90.00
_cell_angle_gamma 90.00
_space_group_name_H-M_alt 'P 4/m m m'
_space_group_IT_number 123
_space_group_name_Hall '-P 4 2'
loop_
_atom_site_label
_atom_site_type_symbol
_atom_site_fract_x
_atom_site_fract_y
_atom_site_fract_z
Li1 Li 0.000 0.000 0.000
La1 La 0.000 0.500 0.500
Y1 Y 0.500 0.500 0.000
Tc1 Tc 0.500 0.500 0.500
# * theoretical density: 4.7 g/cm³
# * formation energy: 0.08 eV per atom
# * calculated volume: 33.30 Å³ per atom
# * DOS(E_F): 1.001 states/eV/atom
# * total moment: 0.00 μB per cell